Material: Pr3Sn13Ir4
Method: DFT, GGA-PBEsol
State: optimized geometry

a b c (Å): 9.693 9.693 9.693
angles (deg): 90.00 90.00 90.00
Sites, in units of the cell vectors:
1 Pr 0.500 0.000 0.750
2 Pr 0.000 0.250 0.500
3 Pr 0.750 0.500 0.000
4 Pr 0.500 0.000 0.250
5 Pr 0.000 0.750 0.500
6 Pr 0.250 0.500 0.000
7 Sn 0.500 0.500 0.500
8 Sn 0.000 0.000 0.000
9 Sn 0.652 0.194 0.500
10 Sn 0.806 0.500 0.652
11 Sn 0.500 0.348 0.806
12 Sn 0.348 0.806 0.500
13 Sn 0.194 0.500 0.348
14 Sn 0.500 0.652 0.194
15 Sn 0.652 0.806 0.500
16 Sn 0.806 0.500 0.348
17 Sn 0.348 0.194 0.500
18 Sn 0.194 0.500 0.652
19 Sn 0.500 0.652 0.806
20 Sn 0.500 0.348 0.194
21 Sn 0.152 0.000 0.694
22 Sn 0.306 0.152 0.000
23 Sn 0.000 0.306 0.848
24 Sn 0.848 0.000 0.306
25 Sn 0.694 0.848 0.000
26 Sn 0.000 0.694 0.152
27 Sn 0.152 0.000 0.306
28 Sn 0.306 0.848 0.000
29 Sn 0.848 0.000 0.694
30 Sn 0.694 0.152 0.000
31 Sn 0.000 0.306 0.152
32 Sn 0.000 0.694 0.848
33 Ir 0.750 0.250 0.750
34 Ir 0.250 0.750 0.250
35 Ir 0.750 0.750 0.250
36 Ir 0.250 0.250 0.750
37 Ir 0.250 0.750 0.750
38 Ir 0.750 0.250 0.250
39 Ir 0.250 0.250 0.250
40 Ir 0.750 0.750 0.750

Calculated values
Density   9.97 g/cm3
Space group   Pm-3n, No. 223
E_form   -556 meV per atom
Calculated volume   910.8 Å³ per cell
E_tot   -6.067 eV per atom